(1)
A plane-wave DFT calculation with GGA-PBE was carried out for a geometry-optimized Pa4Re7Si6 structure. Values from VASP.

- uncorrected formation energy (meV per atom) = -566.2

Geometry as Quantum ESPRESSO input:
```
&SYSTEM
  ibrav = 0, nat = 17, ntyp = 3
/
ATOMIC_SPECIES
Pa 231.04 Pa.upf
Re 186.21 Re.upf
Si 28.09 Si.upf
CELL_PARAMETERS angstrom
-4.171 4.171 4.171
4.171 -4.171 4.171
4.171 4.171 -4.171
ATOMIC_POSITIONS crystal
Pa 0.000 0.000 0.500
Pa 0.000 0.500 0.000
Pa 0.500 0.000 0.000
Pa 0.500 0.500 0.500
Re 0.000 0.000 0.000
Re 0.250 0.500 0.750
Re 0.250 0.750 0.500
Re 0.500 0.250 0.750
Re 0.500 0.750 0.250
Re 0.750 0.250 0.500
Re 0.750 0.500 0.250
Si 0.000 0.314 0.314
Si 0.000 0.686 0.686
Si 0.314 0.000 0.314
Si 0.314 0.314 0.000
Si 0.686 0.000 0.686
Si 0.686 0.686 0.000
```

(2)
A plane-wave DFT calculation with GGA-PBE was carried out for a geometry-optimized Dy2HfUP4 structure. Values from VASP.

Geometry as Quantum ESPRESSO input:
```
&SYSTEM
  ibrav = 0, nat = 8, ntyp = 4
/
ATOMIC_SPECIES
Dy 162.50 Dy.upf
Hf 178.49 Hf.upf
U 238.03 U.upf
P 30.97 P.upf
CELL_PARAMETERS angstrom
6.732 0.000 0.000
0.000 3.891 0.000
-2.222 0.000 6.406
ATOMIC_POSITIONS crystal
Dy 0.000 0.000 0.000
Dy 0.500 0.500 0.000
Hf 0.000 0.500 0.500
U 0.500 0.000 0.500
P 0.239 0.000 0.734
P 0.247 0.500 0.261
P 0.753 0.500 0.739
P 0.761 0.000 0.266
```

(3)
A plane-wave DFT calculation with GGA-PBE was carried out for a geometry-optimized AgSbTe2Os structure. Values from VASP.

- ΔE to the lowest computed polymorph (eV/atom) = 0.633
- uncorrected formation energy (meV per atom) = 1410.6

Geometry as Quantum ESPRESSO input:
```
&SYSTEM
  ibrav = 0, nat = 5, ntyp = 4
/
ATOMIC_SPECIES
Ag 107.87 Ag.upf
Sb 121.76 Sb.upf
Te 127.60 Te.upf
Os 190.23 Os.upf
CELL_PARAMETERS angstrom
5.835 0.000 0.000
0.000 5.835 0.000
0.000 0.000 4.982
ATOMIC_POSITIONS crystal
Ag 0.000 0.000 0.000
Sb 0.500 0.500 0.500
Te 0.000 0.500 0.500
Te 0.500 0.000 0.500
Os 0.500 0.500 0.000
```

(4)
A plane-wave DFT calculation with GGA-PBE was carried out for a geometry-optimized Cs2CdAgI6 structure. Values from VASP.

- uncorrected formation energy (meV per atom) = -805.3

Geometry as Quantum ESPRESSO input:
```
&SYSTEM
  ibrav = 0, nat = 10, ntyp = 4
/
ATOMIC_SPECIES
Cs 132.91 Cs.upf
Cd 112.41 Cd.upf
Ag 107.87 Ag.upf
I 126.90 I.upf
CELL_PARAMETERS angstrom
8.119 0.000 0.000
4.024 7.293 0.000
0.016 4.661 7.518
ATOMIC_POSITIONS crystal
Cs 0.240 0.021 0.235
Cs 0.760 0.979 0.765
Cd 0.000 0.500 0.500
Ag 0.500 0.500 0.000
I 0.223 0.558 0.197
I 0.224 0.050 0.667
I 0.288 0.441 0.798
I 0.712 0.559 0.202
I 0.776 0.950 0.333
I 0.777 0.442 0.803
```

(5)
A plane-wave DFT calculation with GGA-PBE was carried out for a geometry-optimized Cd3In3Hg8 structure. Values from VASP.

Geometry as Quantum ESPRESSO input:
```
&SYSTEM
  ibrav = 0, nat = 14, ntyp = 3
/
ATOMIC_SPECIES
Cd 112.41 Cd.upf
In 114.82 In.upf
Hg 200.59 Hg.upf
CELL_PARAMETERS angstrom
6.459 0.000 0.000
0.015 7.602 0.000
3.216 0.430 7.856
ATOMIC_POSITIONS crystal
Cd 0.000 0.000 0.000
Cd 0.251 0.500 0.000
Cd 0.749 0.500 0.000
In 0.250 0.503 0.500
In 0.500 0.000 0.000
In 0.750 0.497 0.500
Hg 0.105 0.205 0.291
Hg 0.110 0.779 0.273
Hg 0.383 0.221 0.726
Hg 0.393 0.795 0.710
Hg 0.607 0.205 0.290
Hg 0.617 0.779 0.274
Hg 0.890 0.221 0.727
Hg 0.895 0.795 0.709
```

(6)
A plane-wave DFT calculation with GGA-PBE was carried out for a geometry-optimized Tl structure. Values from VASP.

- ΔE to the lowest computed polymorph (eV/atom) = 0.051

Geometry as Quantum ESPRESSO input:
```
&SYSTEM
  ibrav = 0, nat = 12, ntyp = 1
/
ATOMIC_SPECIES
Tl 204.38 Tl.upf
CELL_PARAMETERS angstrom
11.467 0.000 0.000
-5.734 9.931 0.000
0.000 0.000 3.435
ATOMIC_POSITIONS crystal
Tl 0.048 0.278 0.250
Tl 0.145 0.609 0.250
Tl 0.230 0.952 0.250
Tl 0.278 0.230 0.750
Tl 0.391 0.536 0.250
Tl 0.464 0.855 0.250
Tl 0.536 0.145 0.750
Tl 0.609 0.464 0.750
Tl 0.722 0.770 0.250
Tl 0.770 0.048 0.750
Tl 0.855 0.391 0.750
Tl 0.952 0.722 0.750
```

(7)
A plane-wave DFT calculation with GGA-PBE was carried out for a geometry-optimized Rh2SeCl structure. Values from VASP.

- ΔE to the lowest computed polymorph (eV/atom) = 0.306
- uncorrected formation energy (meV per atom) = 245.6

Geometry as Quantum ESPRESSO input:
```
&SYSTEM
  ibrav = 0, nat = 4, ntyp = 3
/
ATOMIC_SPECIES
Rh 102.91 Rh.upf
Se 78.96 Se.upf
Cl 35.45 Cl.upf
CELL_PARAMETERS angstrom
-1.845 2.878 3.401
1.845 -2.878 3.401
1.845 2.878 -3.401
ATOMIC_POSITIONS crystal
Rh 0.220 0.220 0.000
Rh 0.780 0.780 0.000
Se 0.000 0.500 0.500
Cl 0.500 0.000 0.500
```

(8)
A plane-wave DFT calculation with GGA-PBE was carried out for a geometry-optimized Hf6IrOs5 structure. Values from VASP.

Geometry as Quantum ESPRESSO input:
```
&SYSTEM
  ibrav = 0, nat = 12, ntyp = 3
/
ATOMIC_SPECIES
Hf 178.49 Hf.upf
Ir 192.22 Ir.upf
Os 190.23 Os.upf
CELL_PARAMETERS angstrom
-2.294 3.279 6.882
2.294 -3.279 6.882
2.294 3.279 -6.882
ATOMIC_POSITIONS crystal
Hf 0.082 0.333 0.749
Hf 0.248 0.000 0.248
Hf 0.415 0.667 0.749
Hf 0.585 0.333 0.251
Hf 0.752 0.000 0.752
Hf 0.918 0.667 0.251
Ir 0.500 0.500 0.000
Os 0.000 0.500 0.500
Os 0.167 0.167 0.000
Os 0.334 0.834 0.500
Os 0.666 0.166 0.500
Os 0.833 0.833 0.000
```

The records above yield calculated total energy values of -167.3, -63.0, -17.4, -22.8, -12.7, -27.8, -19.1, -133.5 eV per cell, respectively.
The records above yield magnetization values of 0.00, 2.07, 2.50, 0.00, 0.00, 0.00, 0.00, 0.00 μB/f.u., respectively.